La2Be PBE-GGA optimized geometry; ΔE_f = 0.4 eV/f.u.; density of states at the Fermi level = 2.8 states/eV/f.u.; VASP energy = -0.322 Ry/atom; SG = No. 62; volume = 328 Å³ per cell; energy above the most stable polymorph in this dataset = 0.0000 eV/atom
1.0
6.862 0.000 0.000
0.000 5.070 0.000
0.000 0.000 9.426
La Be
8 4
Direct
0.001 0.250 0.179
0.161 0.250 0.586
0.339 0.750 0.086
0.499 0.750 0.679
0.501 0.250 0.321
0.661 0.250 0.914
0.839 0.750 0.414
0.999 0.750 0.821
0.228 0.250 0.904
0.272 0.750 0.404
0.728 0.250 0.596
0.772 0.750 0.096